[1]
Below is a geometry-optimized Hg2TeOs structure, with properties calculated at the PBEsol level.

Summary:
space group = Cmm2, No. 35
calculated total energy = -14.60 eV per cell

```
data_Hg2TeOs
_cell_length_a 3.0677
_cell_length_b 3.0677
_cell_length_c 10.4858
_cell_angle_alpha 90.00
_cell_angle_beta 90.00
_cell_angle_gamma 120.52
_space_group_name_H-M_alt 'P 1'
_space_group_IT_number 1
_space_group_name_Hall 'P 1'
loop_
_atom_site_label
_atom_site_fract_x
_atom_site_fract_y
_atom_site_fract_z
Hg1 0.0000 0.0000 0.0000
Hg2 0.5000 0.5000 0.2624
Te1 0.5000 0.5000 0.6882
Os1 0.0000 0.0000 0.4872
```

---

[2]
Below is a geometry-optimized HgTe2Os structure, with properties calculated at the PBEsol level.

Summary:
space group = P4/mmm, No. 123
calculated total energy = -15.95 eV per cell

```
data_HgTe2Os
_cell_length_a 4.3741
_cell_length_b 4.3741
_cell_length_c 4.3950
_cell_angle_alpha 90.00
_cell_angle_beta 90.00
_cell_angle_gamma 90.00
_space_group_name_H-M_alt 'P 1'
_space_group_IT_number 1
_space_group_name_Hall 'P 1'
loop_
_atom_site_label
_atom_site_fract_x
_atom_site_fract_y
_atom_site_fract_z
Hg1 0.0000 0.0000 0.0000
Te1 0.0000 0.5000 0.5000
Te2 0.5000 0.0000 0.5000
Os1 0.5000 0.5000 0.0000
```

---

[3]
Below is a geometry-optimized HgTeOs3 structure, with properties calculated at the PBEsol level.

Summary:
space group = Pm-3m, No. 221
calculated total energy = -28.33 eV per cell

```
data_HgTeOs3
_cell_length_a 4.7636
_cell_length_b 4.7636
_cell_length_c 4.7636
_cell_angle_alpha 90.00
_cell_angle_beta 90.00
_cell_angle_gamma 90.00
_space_group_name_H-M_alt 'P 1'
_space_group_IT_number 1
_space_group_name_Hall 'P 1'
loop_
_atom_site_label
_atom_site_fract_x
_atom_site_fract_y
_atom_site_fract_z
Hg1 0.0000 0.0000 0.0000
Te1 0.5000 0.5000 0.5000
Os1 0.0000 0.5000 0.5000
Os2 0.5000 0.0000 0.5000
Os3 0.5000 0.5000 0.0000
```

---

[4]
Below is a geometry-optimized Hg2TeOs structure, with properties calculated at the PBEsol level.

Summary:
space group = Cmmm, No. 65
calculated total energy = -13.69 eV per cell

```
data_Hg2TeOs
_cell_length_a 2.9738
_cell_length_b 2.9738
_cell_length_c 11.0251
_cell_angle_alpha 90.00
_cell_angle_beta 90.00
_cell_angle_gamma 120.19
_space_group_name_H-M_alt 'P 1'
_space_group_IT_number 1
_space_group_name_Hall 'P 1'
loop_
_atom_site_label
_atom_site_fract_x
_atom_site_fract_y
_atom_site_fract_z
Hg1 0.0000 0.0000 0.2145
Hg2 0.0000 0.0000 0.7855
Te1 0.5000 0.5000 0.5000
Os1 0.5000 0.5000 0.0000
```

---

[5]
Below is a geometry-optimized ZnHg2TeOs structure, with properties calculated at the PBEsol level.

Summary:
space group = P4/mmm, No. 123
calculated total energy = -15.24 eV per cell

```
data_ZnHg2TeOs
_cell_length_a 5.3207
_cell_length_b 5.3207
_cell_length_c 4.8836
_cell_angle_alpha 90.00
_cell_angle_beta 90.00
_cell_angle_gamma 90.00
_space_group_name_H-M_alt 'P 1'
_space_group_IT_number 1
_space_group_name_Hall 'P 1'
loop_
_atom_site_label
_atom_site_fract_x
_atom_site_fract_y
_atom_site_fract_z
Zn1 0.0000 0.0000 0.0000
Hg1 0.0000 0.5000 0.5000
Hg2 0.5000 0.0000 0.5000
Te1 0.5000 0.5000 0.0000
Os1 0.5000 0.5000 0.5000
```

---

[6]
Below is a geometry-optimized TiHgOs3 structure, with properties calculated at the PBEsol level.

Summary:
space group = Pm-3m, No. 221
formation energy = 1.901 eV/atom

```
data_TiHgOs3
_cell_length_a 4.5210
_cell_length_b 4.5210
_cell_length_c 4.5210
_cell_angle_alpha 90.00
_cell_angle_beta 90.00
_cell_angle_gamma 90.00
_space_group_name_H-M_alt 'P 1'
_space_group_IT_number 1
_space_group_name_Hall 'P 1'
loop_
_atom_site_label
_atom_site_fract_x
_atom_site_fract_y
_atom_site_fract_z
Ti1 0.0000 0.0000 0.0000
Hg1 0.5000 0.5000 0.5000
Os1 0.0000 0.0000 0.5000
Os2 0.0000 0.5000 0.0000
Os3 0.5000 0.0000 0.0000
```

---

[7]
Below is a geometry-optimized Ti2HgOs2 structure, with properties calculated at the PBEsol level.

Summary:
space group = I4/mmm, No. 139
formation energy = 0.154 eV/atom

```
data_Ti2HgOs2
_cell_length_a 6.0745
_cell_length_b 6.0745
_cell_length_c 6.0745
_cell_angle_alpha 140.59
_cell_angle_beta 140.59
_cell_angle_gamma 56.96
_space_group_name_H-M_alt 'P 1'
_space_group_IT_number 1
_space_group_name_Hall 'P 1'
loop_
_atom_site_label
_atom_site_fract_x
_atom_site_fract_y
_atom_site_fract_z
Ti1 0.2500 0.7500 0.5000
Ti2 0.7500 0.2500 0.5000
Hg1 0.0000 0.0000 0.0000
Os1 0.3842 0.3842 0.0000
Os2 0.6158 0.6158 0.0000
```

---

[8]
Below is a geometry-optimized TlHgOs2 structure, with properties calculated at the PBEsol level.

Summary:
space group = Cmmm, No. 65
formation energy = 1.214 eV/atom
energy relative to the lowest polymorph listed for this composition = 449 meV/atom

```
data_TlHgOs2
_cell_length_a 4.9153
_cell_length_b 4.9153
_cell_length_c 2.9407
_cell_angle_alpha 90.00
_cell_angle_beta 90.00
_cell_angle_gamma 106.84
_space_group_name_H-M_alt 'P 1'
_space_group_IT_number 1
_space_group_name_Hall 'P 1'
loop_
_atom_site_label
_atom_site_fract_x
_atom_site_fract_y
_atom_site_fract_z
Tl1 0.0000 0.0000 0.0000
Hg1 0.5000 0.5000 0.0000
Os1 0.0000 0.5000 0.5000
Os2 0.5000 0.0000 0.5000
```

---

[9]
Below is a geometry-optimized TlHg2Os structure, with properties calculated at the PBEsol level.

Summary:
space group = Pmmm, No. 47
formation energy = 0.782 eV/atom
energy relative to the lowest polymorph listed for this composition = 11 meV/atom

```
data_TlHg2Os
_cell_length_a 2.9521
_cell_length_b 5.0055
_cell_length_c 5.3061
_cell_angle_alpha 90.00
_cell_angle_beta 90.00
_cell_angle_gamma 90.00
_space_group_name_H-M_alt 'P 1'
_space_group_IT_number 1
_space_group_name_Hall 'P 1'
loop_
_atom_site_label
_atom_site_fract_x
_atom_site_fract_y
_atom_site_fract_z
Tl1 0.0000 0.0000 0.0000
Hg1 0.0000 0.5000 0.5000
Hg2 0.5000 0.0000 0.5000
Os1 0.5000 0.5000 0.0000
```

---

[10]
Below is a geometry-optimized TlHg2Os structure, with properties calculated at the PBEsol level.

Summary:
space group = P2/m, No. 10
formation energy = 0.771 eV/atom
energy relative to the lowest polymorph listed for this composition = 0 meV/atom

```
data_TlHg2Os
_cell_length_a 2.9143
_cell_length_b 5.0611
_cell_length_c 5.5635
_cell_angle_alpha 90.00
_cell_angle_beta 102.63
_cell_angle_gamma 90.00
_space_group_name_H-M_alt 'P 1'
_space_group_IT_number 1
_space_group_name_Hall 'P 1'
loop_
_atom_site_label
_atom_site_fract_x
_atom_site_fract_y
_atom_site_fract_z
Tl1 0.0000 0.0000 0.0000
Hg1 0.3531 0.5000 0.7335
Hg2 0.6469 0.5000 0.2665
Os1 0.0000 0.0000 0.5000
```

---

[11]
Below is a geometry-optimized TlHgOs2 structure, with properties calculated at the PBEsol level.

Summary:
space group = Pmmm, No. 47
formation energy = 1.213 eV/atom
energy relative to the lowest polymorph listed for this composition = 448 meV/atom

```
data_TlHgOs2
_cell_length_a 2.8548
_cell_length_b 4.2475
_cell_length_c 5.8110
_cell_angle_alpha 90.00
_cell_angle_beta 90.00
_cell_angle_gamma 90.00
_space_group_name_H-M_alt 'P 1'
_space_group_IT_number 1
_space_group_name_Hall 'P 1'
loop_
_atom_site_label
_atom_site_fract_x
_atom_site_fract_y
_atom_site_fract_z
Tl1 0.0000 0.0000 0.0000
Hg1 0.0000 0.0000 0.5000
Os1 0.5000 0.5000 0.2828
Os2 0.5000 0.5000 0.7172
```

---

[12]
Below is a geometry-optimized TlHgOs2 structure, with properties calculated at the PBEsol level.

Summary:
space group = Cm, No. 8
formation energy = 0.764 eV/atom
energy relative to the lowest polymorph listed for this composition = 0 meV/atom

```
data_TlHgOs2
_cell_length_a 4.1051
_cell_length_b 4.1051
_cell_length_c 7.7423
_cell_angle_alpha 99.45
_cell_angle_beta 99.45
_cell_angle_gamma 39.69
_space_group_name_H-M_alt 'P 1'
_space_group_IT_number 1
_space_group_name_Hall 'P 1'
loop_
_atom_site_label
_atom_site_fract_x
_atom_site_fract_y
_atom_site_fract_z
Tl1 0.0000 0.0000 0.0000
Hg1 0.2343 0.2343 0.6892
Os1 0.5026 0.5026 0.4184
Os2 0.7458 0.7458 0.2759
```